PBE with a Hubbard U Cr2CSF, optimized geometry; VASP energy = -26.21 eV for the cell shown
1.0
-0.487 -2.212 -3.941
-1.728 -2.710 1.735
-3.975 2.096 -0.685
Cr S C F
2 1 1 1
direct
0.000 0.000 0.500
0.500 0.000 0.000
0.500 0.500 0.500
0.000 0.500 0.000
0.000 0.000 0.000